Below is a relaxed structure of Tb3PtRh2, with properties calculated at the PBE level.

a b c (Å): 3.493 3.493 10.203
angles (deg): 90.00 90.00 90.00
Element x y z (fractional)
Tb (0.000, 0.000, 0.000)
Tb (0.000, 0.000, 0.329)
Tb (0.000, 0.000, 0.671)
Pt (0.500, 0.500, 0.500)
Rh (0.500, 0.500, 0.167)
Rh (0.500, 0.500, 0.833)

Calculated values
space group = P4/mmm, No. 123
energy of formation from the pure elements = -0.964 eV per atom
total moment = 0.000 Bohr magnetons per cell